Below is a PBEsol-optimized structure of Li3Mn3TeO8, with properties calculated at the SCAN level.

Unit cell a=6.0072 b=6.0072 c=6.0072 alpha=61.90 beta=61.90 gamma=61.90
With the nearest neighbours (Å) after each atom.
Atoms (fractional coordinates):
Li  0.0000  0.5000  0.5000  6 O 2.14-2.31
Li  0.5000  0.0000  0.5000  6 O 2.14-2.31
Li  0.5000  0.5000  0.0000  6 O 2.14-2.31
Mn  0.0000  0.0000  0.5000  6 O 2.02-2.19
Mn  0.0000  0.5000  0.0000  6 O 2.02-2.19
Mn  0.5000  0.0000  0.0000  6 O 2.02-2.19
Te  0.5000  0.5000  0.5000  6 O 1.95
O  0.2318  0.2318  0.2318  3 Mn 2.02
O  0.2735  0.2735  0.7213  1 Te 1.95, 2 Li 2.14
O  0.2735  0.7213  0.2735  1 Te 1.95, 2 Li 2.14
O  0.2787  0.7265  0.7265  1 Te 1.95, 2 Li 2.14
O  0.7213  0.2735  0.2735  1 Te 1.95, 2 Li 2.14
O  0.7265  0.2787  0.7265  1 Te 1.95, 2 Li 2.14
O  0.7265  0.7265  0.2787  1 Te 1.95, 2 Li 2.14
O  0.7682  0.7682  0.7682  3 Mn 2.02

* excess energy over the best structure of this formula in the dataset: 6 meV per atom
* raw formation energy: -1.898 eV per atom
* space-group type: R-3m

=====

Below is a PBEsol-optimized structure of CoReF3, with properties calculated at the SCAN level.

Unit cell a=4.0939 b=4.0939 c=4.0939 alpha=90.00 beta=90.00 gamma=90.00
With the nearest neighbours (Å) after each atom.
Atoms (fractional coordinates):
Co  0.0000  0.0000  0.0000  12 F 2.89
Re  0.5000  0.5000  0.5000  6 F 2.05
F  0.0000  0.5000  0.5000  2 Re 2.05
F  0.5000  0.0000  0.5000  2 Re 2.05
F  0.5000  0.5000  0.0000  2 Re 2.05

* raw formation energy: -0.254 eV per atom
* space-group type: Pm-3m

=====

Below is a PBEsol-optimized structure of CoAs2Br, with properties calculated at the SCAN level.

Unit cell a=5.8891 b=5.8891 c=5.8891 alpha=151.12 beta=135.38 gamma=54.03
With the nearest neighbours (Å) after each atom.
Atoms (fractional coordinates):
Co  0.0000  0.0000  0.0000  4 As 2.45, 4 Br 2.68
As  0.1872  0.6872  0.5000  2 Co 2.45
As  0.8128  0.3128  0.5000  2 Co 2.45
Br  0.5000  0.5000  0.0000  4 Co 2.68, 2 Br 2.94, 4 As 2.98

* excess energy over the best structure of this formula in the dataset: 435 meV per atom
* raw formation energy: 0.443 eV per atom
* space-group type: Immm

=====

Below is a PBEsol-optimized structure of LiAl2, with properties calculated at the SCAN level.

Unit cell a=4.0183 b=4.0183 c=12.2168 alpha=99.28 beta=99.28 gamma=89.96
With the nearest neighbours (Å) after each atom.
Atoms (fractional coordinates):
Li  0.0430  0.7930  0.5861  10 Al 2.77-2.85, 2 Li 2.87
Li  0.2070  0.9570  0.9139  10 Al 2.77-2.85, 2 Li 2.87
Li  0.7930  0.0430  0.0861  10 Al 2.77-2.85, 2 Li 2.87
Li  0.9570  0.2070  0.4139  10 Al 2.77-2.85, 2 Li 2.87
Al  0.1232  0.3732  0.7465  4 Li 2.77-2.83, 8 Al 2.79-2.86
Al  0.2914  0.5414  0.0830  6 Al 2.79-2.86, 6 Li 2.84-2.85
Al  0.3732  0.1232  0.2465  4 Li 2.77-2.83, 8 Al 2.79-2.86
Al  0.4586  0.7086  0.4170  6 Al 2.79-2.86, 6 Li 2.84-2.85
Al  0.5414  0.2914  0.5830  6 Al 2.79-2.86, 6 Li 2.84-2.85
Al  0.6268  0.8768  0.7535  4 Li 2.77-2.83, 8 Al 2.79-2.86
Al  0.7086  0.4586  0.9170  6 Al 2.79-2.86, 6 Li 2.84-2.85
Al  0.8768  0.6268  0.2535  4 Li 2.77-2.83, 8 Al 2.79-2.86

* excess energy over the best structure of this formula in the dataset: 0 meV per atom
* space-group type: C2/c
* E_form: -92 meV/atom